The following is a DFT calculation (PBE) of crystalline NaCaPu2Se4 at its relaxed geometry.

a b c (Å): 7.311 4.216 7.337
angles (deg): 90.00 109.66 90.00
Space group P2/m (No. 10)
One atom of each set of equivalent atoms:
Na 0.000 0.000 0.000 x1
Ca 0.000 0.500 0.500 x1
Pu 0.500 0.000 0.500 x1
Pu 0.500 0.500 0.000 x1
Se 0.254 0.000 0.750 x2
Se 0.259 0.500 0.258 x2

Summary:
Theoretical density   6.76 g/cm³
ΔE_f (raw)   -1547 meV/atom

---

The following is a DFT calculation (PBE) of crystalline Na2CaPuSe4 at its relaxed geometry.

a b c (Å): 7.248 4.223 7.336
angles (deg): 90.00 109.04 90.00
Space group P2/m (No. 10)
One atom of each set of equivalent atoms:
Na 0.000 0.000 0.000 x1
Na 0.500 0.500 0.000 x1
Ca 0.000 0.500 0.500 x1
Pu 0.500 0.000 0.500 x1
Se 0.258 0.000 0.731 x2
Se 0.268 0.500 0.272 x2

Summary:
Theoretical density   5.05 g/cm³
ΔE_f (raw)   -1428 meV/atom

---

The following is a DFT calculation (PBE) of crystalline NaCa2PuTe4 at its relaxed geometry.

a b c (Å): 7.772 4.528 7.813
angles (deg): 90.00 108.95 90.00
Space group P2/m (No. 10)
One atom of each set of equivalent atoms:
Na 0.000 0.000 0.000 x1
Ca 0.500 0.000 0.500 x1
Ca 0.500 0.500 0.000 x1
Pu 0.000 0.500 0.500 x1
Te 0.245 0.000 0.744 x2
Te 0.252 0.500 0.257 x2

Summary:
Theoretical density   5.48 g/cm³
ΔE_f (raw)   -1303 meV/atom

---

The following is a DFT calculation (PBE) of crystalline RbNaCa2 at its relaxed geometry.

a b c (Å): 4.0092 4.0092 42.7486
angles (deg): 90.00 90.00 120.00
Space group R-3m (No. 166, hexagonal axes)
One atom of each set of equivalent atoms:
Rb 0.0000 0.0000 0.0000 x3
Na 0.0000 0.0000 0.5000 x3
Ca 0.0000 0.0000 0.0952 x6

Summary:
Theoretical density   1.58 g/cm³
Calculated formation energy   0.20 eV/atom

---

- What is the formula in the second record?
  Na2CaPuSe4

---

Copy entry 3 word for word.
The following is a DFT calculation (PBE) of crystalline NaCa2PuTe4 at its relaxed geometry.

a b c (Å): 7.772 4.528 7.813
angles (deg): 90.00 108.95 90.00
Space group P2/m (No. 10)
One atom of each set of equivalent atoms:
Na 0.000 0.000 0.000 x1
Ca 0.500 0.000 0.500 x1
Ca 0.500 0.500 0.000 x1
Pu 0.000 0.500 0.500 x1
Te 0.245 0.000 0.744 x2
Te 0.252 0.500 0.257 x2

Summary:
Theoretical density   5.48 g/cm³
ΔE_f (raw)   -1303 meV/atom